Here is a geometry-optimized TbPr2NdDy2 structure from Alexandria. Energies are from GGA-PBE.

Unit cell a=6.6592 b=18.2190 c=3.4273 alpha=90.00 beta=90.00 gamma=90.00
Sites, in units of the cell vectors:
Tb (0.0000, 0.0000, 0.0000)
Tb (0.5000, 0.5000, 0.5000)
Pr (0.2272, 0.1866, 0.0000)
Pr (0.2728, 0.6866, 0.5000)
Pr (0.7272, 0.3134, 0.5000)
Pr (0.7728, 0.8134, 0.0000)
Nd (0.0000, 0.5000, 0.0000)
Nd (0.5000, 0.0000, 0.5000)
Dy (0.2260, 0.3541, 0.5000)
Dy (0.2740, 0.8541, 0.0000)
Dy (0.7260, 0.1459, 0.0000)
Dy (0.7740, 0.6459, 0.5000)

Output
E_form = 256 meV/atom
symmetry = Pnnm, No. 58